KThTl2 | PBE | optimized geometry

Values from the calculation:
The calculated volume is 32.387 Å³ per atom. For the energy relative to the elements, the calculation gives -0.062 eV per atom. The total energy is -3.37 eV/atom. The value obtained for the polymorph energy (0 for the lowest one) is 0 meV/atom.

The structure in CIF format:
```
data_KThTl2
_cell_length_a 3.603
_cell_length_b 3.603
_cell_length_c 9.980
_cell_angle_alpha 90.00
_cell_angle_beta 90.00
_cell_angle_gamma 90.00
_space_group_name_H-M_alt 'P 4/m m m'
_space_group_IT_number 123
_space_group_name_Hall '-P 4 2'
loop_
_atom_site_label
_atom_site_type_symbol
_atom_site_fract_x
_atom_site_fract_y
_atom_site_fract_z
K1 K 0.000 0.000 0.000
Th1 Th 0.000 0.000 0.500
Tl1 Tl 0.500 0.500 0.269
```